# Tb4Sm2Th

Crystalline Tb4Sm2Th at its relaxed geometry (PBE, Alexandria via LeMat-Bulk).

Lattice parameters (Å, degrees): 20.4496 20.4496 20.4496 10.07 10.07 10.07
With the nearest neighbours (Å) after each atom.
Element x y z (fractional)
1 Tb 0.1429 0.1429 0.1429  9 Tb 3.56-3.59, 3 Sm 3.57
2 Tb 0.2871 0.2871 0.2871  3 Th 3.50, 6 Tb 3.59, 3 Sm 3.65
3 Tb 0.7129 0.7129 0.7129  3 Th 3.50, 6 Tb 3.59, 3 Sm 3.65
4 Tb 0.8571 0.8571 0.8571  9 Tb 3.56-3.59, 3 Sm 3.57
5 Sm 0.4287 0.4287 0.4287  6 Tb 3.57-3.65, 6 Sm 3.59
6 Sm 0.5713 0.5713 0.5713  6 Tb 3.57-3.65, 6 Sm 3.59
7 Th 0.0000 0.0000 0.0000  6 Tb 3.50, 6 Th 3.59

Summary:
V: 32.45 Å³/atom
ρ: 8.5 Mg/m³
space group: R-3m, No. 166
total energy: -5.041 eV per atom
formation energy from the elements: 1 kJ/mol of atoms